VASP calculation (SCAN) on a PBEsol-optimized structure of MoP2Pt.

Calculated values
SG	C2/m
electronic total energy	-126.28	eV per formula unit

Cell: 4.210 4.210 4.920 Å, 94.83 94.83 41.58°
Sites, in units of the cell vectors:
Mo 0.000 0.000 0.000
P 0.275 0.275 0.792
P 0.725 0.725 0.208
Pt 0.500 0.500 0.500

VASP calculation (SCAN) on a PBEsol-optimized structure of MoP2Pt.

Calculated values
SG	P4/mmm
electronic total energy	-126.31	eV per formula unit

Cell: 3.057 3.057 5.810 Å, 90.00 90.00 90.00°
Sites, in units of the cell vectors:
Mo 0.000 0.000 0.000
P 0.500 0.500 0.232
P 0.500 0.500 0.768
Pt 0.000 0.000 0.500

VASP calculation (SCAN) on a PBEsol-optimized structure of MoPPt4.

Calculated values
SG	F-43m
electronic total energy	-323.32	eV per formula unit

Cell: 5.157 5.157 5.157 Å, 60.00 60.00 60.00°
Sites, in units of the cell vectors:
Mo 0.000 0.000 0.000
P 0.250 0.250 0.250
Pt 0.124 0.625 0.625
Pt 0.625 0.124 0.625
Pt 0.625 0.625 0.124
Pt 0.625 0.625 0.625

Here are the calculated energy relative to the elements numbers, same order: -0.100, -0.108, 0.456 (eV/atom).